Here is a geometry-optimized PmPrGe2Pd2 structure from Alexandria via LeMat-Bulk. Energies are from GGA-PBE.

formation energy from the elements: -5.36 eV per formula unit
space group: P-3m1 (164)

a b c (Å): 4.3553 4.3553 8.1172
angles (deg): 90.00 90.00 120.00
With the nearest neighbours (Å) after each atom.
Fractional positions:
Pr  0.0000  0.0000  0.0000  6 Ge 3.23, 6 Pd 3.29
Ge  0.3333  0.6667  0.2502  3 Pd 2.52
Pd  0.3333  0.6667  0.7388  3 Ge 2.52
Pm  0.0000  0.0000  0.5000  6 Pd 3.17, 6 Ge 3.23
Pd  0.6667  0.3333  0.2612  3 Ge 2.52
Ge  0.6667  0.3333  0.7498  3 Pd 2.52